Entry 1:
DFT (GGA-PBE) results for a relaxed structure of Rb3La2DyS6.

Unit cell a=7.348 b=7.348 c=8.074 alpha=98.72 beta=98.72 gamma=120.01
Atoms (fractional coordinates):
Rb 0.000 0.000 0.000
Rb 0.333 0.667 0.000
Rb 0.667 0.333 0.000
La 0.167 0.833 0.500
La 0.833 0.167 0.500
Dy 0.500 0.500 0.500
S 0.113 0.435 0.305
S 0.244 0.244 0.695
S 0.435 0.113 0.305
S 0.565 0.887 0.695
S 0.756 0.756 0.305
S 0.887 0.565 0.695

Results
The formation energy from raw total energies is -22.55 eV/f.u.


Entry 2:
DFT (GGA-PBE) results for a relaxed structure of Rb4LaDy3Se8.

Unit cell a=9.414 b=9.414 c=9.414 alpha=54.36 beta=54.36 gamma=54.36
Atoms (fractional coordinates):
Rb 0.000 0.000 0.000
Rb 0.000 0.500 0.500
Rb 0.500 0.000 0.500
Rb 0.500 0.500 0.000
La 0.500 0.500 0.500
Dy 0.000 0.000 0.500
Dy 0.000 0.500 0.000
Dy 0.500 0.000 0.000
Se 0.222 0.738 0.738
Se 0.232 0.232 0.232
Se 0.262 0.262 0.778
Se 0.262 0.778 0.262
Se 0.738 0.222 0.738
Se 0.738 0.738 0.222
Se 0.768 0.768 0.768
Se 0.778 0.262 0.262

Results
The formation energy from raw total energies is -28.05 eV/f.u.


Entry 3:
DFT (GGA-PBE) results for a relaxed structure of Rb3LaDy2Se6.

Unit cell a=7.479 b=7.479 c=8.383 alpha=98.56 beta=98.56 gamma=120.00
Atoms (fractional coordinates):
Rb 0.000 0.000 0.000
Rb 0.335 0.665 0.000
Rb 0.665 0.335 0.000
La 0.500 0.500 0.500
Dy 0.167 0.833 0.500
Dy 0.833 0.167 0.500
Se 0.089 0.434 0.303
Se 0.221 0.221 0.697
Se 0.434 0.089 0.303
Se 0.566 0.911 0.697
Se 0.779 0.779 0.303
Se 0.911 0.566 0.697

Results
The formation energy from raw total energies is -21.13 eV/f.u.


Entry 4:
DFT (GGA-PBE) results for a relaxed structure of Rb3La3DySe8.

Unit cell a=8.806 b=8.806 c=9.564 alpha=117.48 beta=117.48 gamma=59.96
Atoms (fractional coordinates):
Rb 0.000 0.000 0.000
Rb 0.000 0.500 0.000
Rb 0.500 0.000 0.000
La 0.000 0.500 0.500
La 0.500 0.000 0.500
La 0.500 0.500 0.500
Dy 0.000 0.000 0.500
Se 0.224 0.224 0.693
Se 0.224 0.744 0.693
Se 0.256 0.776 0.307
Se 0.266 0.266 0.298
Se 0.734 0.734 0.702
Se 0.744 0.224 0.693
Se 0.776 0.256 0.307
Se 0.776 0.776 0.307

Results
The formation energy from raw total energies is -25.62 eV/f.u.


Entry 5:
DFT (GGA-PBE) results for a relaxed structure of Rb2LaDyTe4.

Unit cell a=8.033 b=4.635 c=8.956 alpha=90.00 beta=107.35 gamma=90.00
Atoms (fractional coordinates):
Rb 0.000 0.000 0.000
Rb 0.500 0.500 0.000
La 0.000 0.500 0.500
Dy 0.500 0.000 0.500
Te 0.245 0.000 0.705
Te 0.276 0.500 0.300
Te 0.724 0.500 0.700
Te 0.755 0.000 0.295

Results
The formation energy from raw total energies is -11.46 eV/f.u.


Entry 6:
DFT (GGA-PBE) results for a relaxed structure of Rb4LaDy3Te8.

Unit cell a=10.056 b=10.056 c=10.056 alpha=54.21 beta=54.21 gamma=54.21
Atoms (fractional coordinates):
Rb 0.000 0.000 0.000
Rb 0.000 0.500 0.500
Rb 0.500 0.000 0.500
Rb 0.500 0.500 0.000
La 0.500 0.500 0.500
Dy 0.000 0.000 0.500
Dy 0.000 0.500 0.000
Dy 0.500 0.000 0.000
Te 0.224 0.739 0.739
Te 0.233 0.233 0.233
Te 0.261 0.261 0.776
Te 0.261 0.776 0.261
Te 0.739 0.224 0.739
Te 0.739 0.739 0.224
Te 0.767 0.767 0.767
Te 0.776 0.261 0.261

Results
The formation energy from raw total energies is -22.51 eV/f.u.


Entry 7:
DFT (GGA-PBE) results for a relaxed structure of LaDyRh.

Unit cell a=6.596 b=7.050 c=10.150 alpha=90.00 beta=129.35 gamma=90.00
Atoms (fractional coordinates):
La 0.145 0.081 0.385
La 0.145 0.419 0.885
La 0.855 0.581 0.115
La 0.855 0.919 0.615
Dy 0.374 0.577 0.615
Dy 0.374 0.923 0.115
Dy 0.626 0.077 0.885
Dy 0.626 0.423 0.385
Rh 0.358 0.746 0.357
Rh 0.358 0.754 0.857
Rh 0.642 0.246 0.143
Rh 0.642 0.254 0.643

Results
The calculation puts the formation enthalpy at 0 K at -54 kJ per mole of atoms.


Entry 8:
DFT (GGA-PBE) results for a relaxed structure of La2DyRh.

Unit cell a=3.804 b=3.804 c=31.766 alpha=90.00 beta=90.00 gamma=120.00
Atoms (fractional coordinates):
La 0.000 0.000 0.110
La 0.000 0.000 0.890
La 0.333 0.667 0.557
La 0.333 0.667 0.777
La 0.667 0.333 0.223
La 0.667 0.333 0.443
Dy 0.000 0.000 0.000
Dy 0.333 0.667 0.667
Dy 0.667 0.333 0.333
Rh 0.000 0.000 0.500
Rh 0.333 0.667 0.167
Rh 0.667 0.333 0.833

Results
The calculation puts the formation enthalpy at 0 K at -12 kJ per mole of atoms.


Entry 9:
DFT (GGA-PBE) results for a relaxed structure of La2DyRh.

Unit cell a=3.684 b=3.684 c=8.627 alpha=90.00 beta=90.00 gamma=90.00
Atoms (fractional coordinates):
La 0.000 0.000 0.194
La 0.000 0.000 0.806
Dy 0.500 0.500 0.500
Rh 0.500 0.500 0.000

Results
The calculation puts the formation enthalpy at 0 K at -26 kJ per mole of atoms.


Entry 10:
DFT (GGA-PBE) results for a relaxed structure of LaDyRh4.

Unit cell a=5.396 b=5.396 c=5.396 alpha=60.00 beta=60.00 gamma=60.00
Atoms (fractional coordinates):
La 0.000 0.000 0.000
Dy 0.750 0.750 0.750
Rh 0.375 0.375 0.375
Rh 0.375 0.375 0.874
Rh 0.375 0.874 0.375
Rh 0.874 0.375 0.375

Results
The calculation puts the formation enthalpy at 0 K at -67 kJ per mole of atoms.


Entry 11:
DFT (GGA-PBE) results for a relaxed structure of LaDyRh.

Unit cell a=4.813 b=4.891 c=6.949 alpha=90.00 beta=96.92 gamma=90.00
Atoms (fractional coordinates):
La 0.241 0.250 0.393
La 0.759 0.750 0.607
Dy 0.262 0.750 0.005
Dy 0.738 0.250 0.995
Rh 0.179 0.250 0.773
Rh 0.821 0.750 0.227

Results
The calculation puts the formation enthalpy at 0 K at -58 kJ per mole of atoms.


Entry 12:
DFT (GGA-PBE) results for a relaxed structure of LaDyRh.

Unit cell a=6.963 b=6.963 c=6.963 alpha=90.00 beta=90.00 gamma=90.00
Atoms (fractional coordinates):
La 0.000 0.000 0.000
La 0.000 0.500 0.500
La 0.500 0.000 0.500
La 0.500 0.500 0.000
Dy 0.000 0.000 0.500
Dy 0.000 0.500 0.000
Dy 0.500 0.000 0.000
Dy 0.500 0.500 0.500
Rh 0.250 0.250 0.250
Rh 0.250 0.750 0.750
Rh 0.750 0.250 0.750
Rh 0.750 0.750 0.250

Results
The calculation puts the formation enthalpy at 0 K at -49 kJ per mole of atoms.


Total DFT energy (no corrections) across the listed records, respectively: -5.390, -4.908, -4.923, -5.052, -4.437, -4.391, -6.192, -5.579, -5.726, -7.187, -6.224, -6.132 eV per atom.
Mass density across the listed records, respectively: 4104, 5186, 5116, 4485, 5127, 5312, 7358, 6798, 7704, 10659, 8268, 7955 kg/m³.
Magnetic moment across the listed records, respectively: 0.0000, 0.0000, 0.0000, 0.0000, 0.0000, 0.0000, 0.0000, 0.0006, 0.2547, 0.0000, 0.0000, 0.0001 μB/atom.